1.
VTe2PdN: relaxed, PBE.

Geometry as POSCAR:
```
VTe2PdN
1.0
5.506 0.000 0.000
0.000 5.506 0.000
0.000 0.000 3.679
Pd N Te V
1 1 2 1
direct
0.000 0.000 0.000
0.000 0.000 0.500
0.000 0.500 0.000
0.500 0.000 0.000
0.500 0.500 0.500
```

Computed properties:
For the energy above the most stable polymorph in this dataset, the calculation gives 616 meV per atom. As for the density of states at the Fermi level: 4.91 states/eV/cell. The calculated density comes out at 6.35 Mg/m³. The uncorrected formation energy is 770 meV/atom. Its space group is P4/mmm.

2.
Zr2V2Zn: relaxed, PBE.

Geometry as POSCAR:
```
Zr2V2Zn
1.0
7.298 0.000 0.000
0.000 7.298 0.000
0.000 0.000 3.523
Zn V Zr
2 4 4
direct
0.000 0.000 0.000
0.500 0.500 0.000
0.345 0.155 0.500
0.655 0.845 0.500
0.155 0.655 0.500
0.845 0.345 0.500
0.645 0.145 0.000
0.855 0.645 0.000
0.145 0.355 0.000
0.355 0.855 0.000
```

Computed properties:
For the energy above the most stable polymorph in this dataset, the calculation gives 366 meV per atom. As for the density of states at the Fermi level: 10.35 states/eV/cell. The calculated density comes out at 6.19 Mg/m³. As for the formation enthalpy at 0 K: 210 kJ/mol of formula units. Its space group is P4/mbm.

3.
CeNd3Se4: relaxed, PBE.

Geometry as POSCAR:
```
CeNd3Se4
1.0
-1.995 -4.381 -3.538
5.587 -1.071 -1.823
-1.094 -1.193 7.137
Se Nd Ce
4 3 1
direct
0.000 0.500 0.000
0.249 0.249 0.498
0.751 0.751 0.502
0.500 0.000 0.000
0.250 0.750 0.500
0.750 0.250 0.500
0.500 0.500 0.000
0.000 0.000 0.000
```

Computed properties:
As for the density of states at the Fermi level: 7.99 states/eV/cell. The calculated density comes out at 6.92 Mg/m³. The uncorrected formation energy is -1839 meV/atom. Its space group is I4/mmm.

4.
Pr2P2AuO: relaxed, PBE.

Geometry as POSCAR:
```
Pr2P2AuO
1.0
2.130 7.667 -0.017
-2.130 7.667 -0.017
0.000 6.534 7.616
Pr O P Au
4 2 4 2
direct
0.132 0.132 0.047
0.868 0.868 0.953
0.827 0.827 0.615
0.173 0.173 0.385
0.722 0.722 0.926
0.278 0.278 0.074
0.452 0.452 0.644
0.147 0.147 0.734
0.853 0.853 0.266
0.548 0.548 0.356
0.588 0.588 0.699
0.412 0.412 0.301
```

Computed properties:
As for the density of states at the Fermi level: 1.43 states/eV/cell. The calculated density comes out at 7.42 Mg/m³. The uncorrected formation energy is -1650 meV/atom. Its space group is C2/m.

5.
LaMn2C2: relaxed, PBE.

Geometry as POSCAR:
```
LaMn2C2
1.0
-3.317 0.327 -4.093
-2.677 -1.772 4.189
1.953 5.130 1.149
C La Mn
4 2 4
direct
0.445 0.055 0.250
0.555 0.945 0.750
0.195 0.305 0.750
0.805 0.695 0.250
0.125 0.375 0.250
0.875 0.625 0.750
0.240 0.990 0.481
0.510 0.260 0.019
0.490 0.740 0.981
0.760 0.010 0.519
```

Computed properties:
As for the density of states at the Fermi level: 9.77 states/eV/cell. The calculated density comes out at 7.32 Mg/m³. As for the formation enthalpy at 0 K: -93 kJ/mol of formula units. Its space group is Fddd.

6.
Tb5PmDy2Ho: relaxed, PBE.

Geometry as POSCAR:
```
Tb5PmDy2Ho
1.0
5.601 0.000 0.000
-2.801 9.973 0.000
0.000 0.000 10.615
Ho Tb Dy Pm
2 10 4 2
direct
0.413 0.827 0.456
0.587 0.173 0.956
0.479 0.958 0.739
0.282 0.564 0.307
0.718 0.436 0.807
0.017 0.035 0.025
0.393 0.786 0.024
0.300 0.600 0.707
0.607 0.214 0.524
0.700 0.400 0.207
0.521 0.042 0.239
0.983 0.965 0.525
0.886 0.771 0.819
0.109 0.219 0.737
0.891 0.781 0.237
0.114 0.229 0.319
0.201 0.402 0.011
0.799 0.598 0.511
```

Computed properties:
As for the density of states at the Fermi level: 28.05 states/eV/cell. The calculated density comes out at 8.01 Mg/m³. As for the formation enthalpy at 0 K: 132 kJ/mol of formula units. Its space group is Cmc2_1.

7.
Sm4SnGe2: relaxed, PBE.

Geometry as POSCAR:
```
Sm4SnGe2
1.0
4.802 0.000 0.000
2.401 4.158 0.000
2.401 1.386 10.341
Sn Ge Sm
1 2 4
direct
0.500 0.500 0.500
0.598 0.598 0.206
0.402 0.402 0.794
0.117 0.117 0.649
0.298 0.298 0.107
0.702 0.702 0.893
0.883 0.883 0.351
```

Computed properties:
For the energy above the most stable polymorph in this dataset, the calculation gives 170 meV per atom. As for the density of states at the Fermi level: 2.89 states/eV/cell. The calculated density comes out at 6.96 Mg/m³. As for the formation enthalpy at 0 K: -419 kJ/mol of formula units. Its space group is R-3m.

8.
K2NaNiH4: relaxed, PBE.

Geometry as POSCAR:
```
K2NaNiH4
1.0
-2.639 -3.696 -1.942
2.654 -5.797 1.145
-6.895 -2.617 8.066
H K Ni Na
8 4 2 2
direct
0.438 0.825 0.099
0.312 0.675 0.401
0.462 0.175 0.099
0.288 0.325 0.401
0.388 0.325 0.599
0.013 0.675 0.599
0.737 0.825 0.901
0.362 0.175 0.901
0.172 0.000 0.655
0.578 0.500 0.845
0.922 0.500 0.155
0.828 0.000 0.345
0.250 0.500 0.500
0.500 0.000 0.000
0.750 0.500 0.500
0.000 0.000 0.000
```

Computed properties:
As for the density of states at the Fermi level: 1.87 states/eV/cell. For the final energy, the calculation gives -2.872 eV per atom. The calculated density comes out at 1.73 Mg/m³. Its space group is Fddd.

9.
CrPd6Au3: relaxed, PBE.

Geometry as POSCAR:
```
CrPd6Au3
1.0
-1.275 -3.852 3.274
4.990 1.405 -0.555
-0.741 4.704 5.245
Pd Au Cr
6 3 1
direct
0.394 0.394 0.177
0.606 0.000 0.177
0.000 0.606 0.177
0.606 0.606 0.823
0.000 0.394 0.823
0.394 0.000 0.823
0.333 0.667 0.500
0.667 0.333 0.500
0.000 0.000 0.500
0.000 0.000 0.000
```

Computed properties:
For the energy above the most stable polymorph in this dataset, the calculation gives 138 meV per atom. As for the density of states at the Fermi level: 6.70 states/eV/cell. The calculated density comes out at 12.76 Mg/m³. As for the formation enthalpy at 0 K: 92 kJ/mol of formula units. Its space group is P-31m.

10.
Ca2InI: relaxed, PBE.

Geometry as POSCAR:
```
Ca2InI
1.0
8.515 0.000 0.000
0.000 8.515 0.000
4.258 4.258 3.984
Ca In I
4 2 2
direct
0.625 0.125 0.250
0.125 0.625 0.250
0.875 0.875 0.750
0.375 0.375 0.750
0.250 0.750 0.500
0.500 0.500 0.000
0.750 0.250 0.500
0.000 0.000 0.000
```

Computed properties:
For the energy above the most stable polymorph in this dataset, the calculation gives 278 meV per atom. As for the density of states at the Fermi level: 5.77 states/eV/cell. The calculated density comes out at 3.70 Mg/m³. The uncorrected formation energy is -469 meV/atom. Its space group is I-42d.

11.
Cs2KNaTe2: relaxed, PBE.

Geometry as POSCAR:
```
Cs2KNaTe2
1.0
7.880 0.000 0.000
0.000 7.725 0.000
-3.940 -3.863 8.886
Te Cs K Na
4 4 2 2
direct
0.834 0.107 0.214
0.380 0.607 0.214
0.620 0.393 0.786
0.166 0.893 0.786
0.918 0.675 0.350
0.082 0.325 0.650
0.568 0.825 0.650
0.432 0.175 0.350
0.000 0.750 0.000
0.000 0.250 0.000
0.500 0.250 0.000
0.500 0.750 0.000
```

Computed properties:
As for the density of states at the Fermi level: 0.00 states/eV/cell. The calculated density comes out at 3.58 Mg/m³. The uncorrected formation energy is -1021 meV/atom. Its space group is Ibam.

12.
Sr2Sb2Pd: relaxed, PBE.

Geometry as POSCAR:
```
Sr2Sb2Pd
1.0
7.623 0.000 0.000
0.000 7.623 0.000
0.000 0.000 4.985
Pd Sr Sb
2 4 4
direct
0.000 0.000 0.000
0.500 0.500 0.000
0.169 0.669 0.500
0.831 0.331 0.500
0.669 0.831 0.500
0.331 0.169 0.500
0.643 0.143 0.000
0.357 0.857 0.000
0.143 0.357 0.000
0.857 0.643 0.000
```

Computed properties:
For the energy above the most stable polymorph in this dataset, the calculation gives 148 meV per atom. As for the density of states at the Fermi level: 5.26 states/eV/cell. The calculated density comes out at 6.02 Mg/m³. The uncorrected formation energy is -756 meV/atom. Its space group is P4/mbm.